No. 1
CdPRhO2 | the Alexandria database | PBE | optimized geometry; formation energy without anion corrections = 832.8 meV/atom; distance to the lowest polymorph of the same formula = 974 meV per atom
1.0
3.9204 0.0000 0.0000
0.0000 3.9204 0.0000
0.0000 0.0000 5.7083
P Rh O Cd
1 1 2 1
Direct
0.0000 0.0000 0.5000 P
0.5000 0.5000 0.5000 Rh
0.0000 0.5000 0.0000 O
0.5000 0.0000 0.0000 O
0.0000 0.0000 0.0000 Cd

=====

No. 2
CdP2RhO | the Alexandria database | PBE | optimized geometry; formation energy without anion corrections = 211.3 meV/atom; distance to the lowest polymorph of the same formula = 0 meV per atom
1.0
4.8905 0.0000 0.0000
0.0000 4.8905 0.0000
0.0000 0.0000 3.7032
P Rh O Cd
2 1 1 1
Direct
0.0000 0.5000 0.0000 P
0.5000 0.0000 0.0000 P
0.0000 0.0000 0.0000 Rh
0.0000 0.0000 0.5000 O
0.5000 0.5000 0.5000 Cd

=====

No. 3
CdP2RhO | the Alexandria database | PBE | optimized geometry; formation energy without anion corrections = 1186.5 meV/atom; distance to the lowest polymorph of the same formula = 975 meV per atom
1.0
4.9499 0.0000 0.0000
0.0000 4.9499 0.0000
0.0000 0.0000 3.8852
P Rh O Cd
2 1 1 1
Direct
0.0000 0.5000 0.0000 P
0.5000 0.0000 0.0000 P
0.5000 0.5000 0.5000 Rh
0.0000 0.0000 0.5000 O
0.0000 0.0000 0.0000 Cd

=====

No. 4
CdPRuO2 | the Alexandria database | PBE | optimized geometry; formation energy without anion corrections = -380.0 meV/atom; distance to the lowest polymorph of the same formula = 0 meV per atom
1.0
3.7931 0.0000 0.0000
0.0000 3.7931 0.0000
0.0000 0.0000 5.2822
Ru O P Cd
1 2 1 1
Direct
0.0000 0.0000 0.0000 Ru
0.0000 0.5000 0.0000 O
0.5000 0.0000 0.0000 O
0.0000 0.0000 0.5000 P
0.5000 0.5000 0.5000 Cd

=====

Electronic total energy, respectively: -3.89 -4.60 -3.62 -5.48 eV/atom.